Entry from Alexandria via LeMat-Bulk: an optimized crystal structure of AcPrAs2Pd5 (PBE-GGA).

Geometry as POSCAR:
```
AcPrAs2Pd5
1.0
-0.040 -4.357 0.212
4.310 -0.073 -0.670
1.470 0.444 9.413
Pd Ac As Pr
5 1 2 1
Cartesian
3.208 0.282 6.408
2.572 0.090 2.335
1.033 -1.860 6.848
2.870 -1.993 4.477
0.397 -2.053 2.776
0.000 0.000 0.000
2.356 -2.148 1.186
3.384 -1.837 7.769
0.735 0.222 4.706
```

## Properties
- space group = No. 123
- energy of formation from the pure elements (eV per atom) = -0.844
- total energy (eV for the cell shown) = -51.75
- magnetization (μB per atom) = 0.000